# ErScTl4, relaxed, DFT PBE
# calculated volume: 299.1 Å³/cell
# DFT total energy: -3.576 eV/atom
data_ErScTl4
_chemical_formula_sum 'Er2 Sc2 Tl8'
_symmetry_space_group_name_H-M 'A m m 2'
_symmetry_Int_Tables_number 38
_symmetry_space_group_name_Hall 'A 2 -2'
_cell_length_a 4.592
_cell_length_b 4.608
_cell_length_c 14.135
_cell_angle_alpha 90.00
_cell_angle_beta 90.00
_cell_angle_gamma 90.00
loop_
_atom_site_label
_atom_site_type_symbol
_atom_site_fract_x
_atom_site_fract_y
_atom_site_fract_z
Er1 Er 0.000 0.000 0.000
Sc1 Sc 0.000 0.000 0.688
Tl1 Tl 0.000 0.000 0.340
Tl2 Tl 0.500 0.000 0.169
Tl3 Tl 0.500 0.000 0.522
Tl4 Tl 0.500 0.000 0.840